Below is a geometry-optimized Ce3Al3Tc2 structure, with properties calculated at the GGA-PBE level.

## Properties
Calculated formation energy, meV per atom: -355
Space-group type: No. 12

Cell: 4.710 4.858 8.129 Å, 97.86 106.84 90.00°
Last column: magnetic moment on the atom in μB.
Element x y z (fractional)
Ce  0.164  0.573  0.328  0.02
Ce  0.836  0.427  0.672  0.02
Ce  0.000  0.000  0.000  0.26
Al  0.633  0.054  0.265  0.00
Al  0.500  0.500  0.000  0.00
Al  0.367  0.946  0.735  0.00
Tc  0.206  0.096  0.412  -0.01
Tc  0.794  0.904  0.588  -0.01


Below is a geometry-optimized Ce3AlTc structure, with properties calculated at the GGA-PBE level.

## Properties
Distance to the lowest polymorph of the same formula, meV/atom: 0
Calculated formation energy, meV per atom: -158
Space-group type: No. 12

Cell: 4.963 5.925 8.595 Å, 96.16 90.00 114.76°
Element x y z (fractional)
Ce  0.065  0.130  0.838
Ce  0.935  0.870  0.162
Ce  0.384  0.768  0.865
Ce  0.616  0.232  0.135
Ce  0.130  0.260  0.418
Ce  0.870  0.740  0.582
Al  0.581  0.163  0.625
Al  0.419  0.837  0.375
Tc  0.741  0.481  0.878
Tc  0.259  0.519  0.122